Run i
Material: Pr3Ga2Ge2
Method: DFT, PBE-GGA
State: relaxed

It has space group Immm (No. 71), with a = 4.135 Å, b = 4.460 Å, c = 18.839 Å, α = 90.00°, β = 90.00° and γ = 90.00°. The asymmetric unit holds Pr at (0.000, 0.000, 0.000), Pr at (0.000, 0.500, 0.316), Ga at (0.000, 0.000, 0.435) and Ge at (0.000, 0.500, 0.146).

The calculation puts the magnetic moment at 0.58 μB per formula unit. Its crystal system is orthorhombic.



Run ii
Material: Pr3Ga2Ge2
Method: DFT, PBE-GGA
State: relaxed

It has space group C2/m (No. 12), with a = 11.158 Å, b = 4.390 Å, c = 7.777 Å, α = 90.00°, β = 113.82° and γ = 90.00°. The asymmetric unit holds Pr at (0.000, 0.000, 0.000), Pr at (0.177, 0.000, 0.629), Ga at (0.192, 0.500, 0.930) and Ge at (0.033, 0.500, 0.332).

The calculation puts the magnetic moment at 0.00 μB per formula unit. Its crystal system is monoclinic.



Least stable of them? run ii.



Run i
Material: TbPrGaGe
Method: DFT, PBE-GGA
State: relaxed

It has space group F-43m (No. 216), with a = 7.317 Å, b = 7.317 Å, c = 7.317 Å, α = 90.00°, β = 90.00° and γ = 90.00°. The asymmetric unit holds Tb at (0.000, 0.000, 0.000), Pr at (0.000, 0.000, 0.500), Ga at (0.250, 0.250, 0.750) and Ge at (0.250, 0.250, 0.250).

The calculation puts the magnetic moment at 0.00 μB per formula unit. Its crystal system is cubic.



Run ii
Material: TbPrGaGe
Method: DFT, PBE-GGA
State: relaxed

It has space group Amm2 (No. 38), with a = 4.076 Å, b = 4.423 Å, c = 11.133 Å, α = 90.00°, β = 90.00° and γ = 90.00°. The asymmetric unit holds Tb at (0.000, 0.000, 0.000), Pr at (0.500, 0.000, 0.720), Ga at (0.000, 0.000, 0.288) and Ge at (0.500, 0.000, 0.440).

The calculation puts the magnetic moment at 0.07 μB per formula unit. Its crystal system is orthorhombic.



Least stable of them? run i.



Run i
Material: PrTmGaGe
Method: DFT, PBE-GGA
State: relaxed

It has space group Amm2 (No. 38), with a = 4.051 Å, b = 4.387 Å, c = 11.016 Å, α = 90.00°, β = 90.00° and γ = 90.00°. The asymmetric unit holds Pr at (0.000, 0.000, 0.000), Tm at (0.500, 0.000, 0.279), Ga at (0.500, 0.000, 0.567) and Ge at (0.000, 0.000, 0.722).

The calculation puts the magnetic moment at 0.00 μB per formula unit. Its crystal system is orthorhombic.



Run ii
Material: PrTmGaGe
Method: DFT, PBE-GGA
State: relaxed

It has space group F-43m (No. 216), with a = 7.262 Å, b = 7.262 Å, c = 7.262 Å, α = 90.00°, β = 90.00° and γ = 90.00°. The asymmetric unit holds Pr at (0.000, 0.000, 0.000), Tm at (0.000, 0.000, 0.500), Ga at (0.250, 0.250, 0.250) and Ge at (0.250, 0.250, 0.750).

The calculation puts the magnetic moment at 0.00 μB per formula unit. Its crystal system is cubic.



Least stable of them? run ii.